(1)
Compound: LaFeN2
Source: Alexandria
Functional: PBE
Structure: relaxed

Calculated values
The uncorrected formation energy is -509.7 meV/atom. Its excess energy over the best structure of this formula in the dataset is 264 meV/atom.

abc: 4.8056 4.8056 9.8381
angles: 90.00 90.00 90.00
With the nearest neighbours (Å) after each atom.
Space group I-42d (No. 122)
One atom of each set of equivalent atoms:
La  0.0000  0.0000  0.0000 x4  4 N 2.45
Fe  0.0000  0.0000  0.5000 x4  4 N 1.84
N  0.1366  0.2500  0.6250 x8  2 Fe 1.84

---

(2)
Compound: La3Fe5N12
Source: Alexandria
Functional: PBE
Structure: relaxed

Calculated values
The uncorrected formation energy is -181.9 meV/atom.

abc: 12.4288 12.4288 12.4288
angles: 90.00 90.00 90.00
With the nearest neighbours (Å) after each atom.
Space group Ia-3d (No. 230)
One atom of each set of equivalent atoms:
La  0.0000  0.2500  0.1250 x24  8 N 2.46-2.65
Fe  0.0000  0.0000  0.0000 x16  6 N 1.98
Fe  0.0000  0.2500  0.3750 x24  4 N 1.73
N  0.0393  0.0415  0.6484 x96  1 Fe 1.73

---

(3)
Compound: LaFeN2
Source: Alexandria
Functional: PBE
Structure: relaxed

Calculated values
The uncorrected formation energy is -240.3 meV/atom. Its excess energy over the best structure of this formula in the dataset is 533 meV/atom.

abc: 3.9530 3.9530 16.3625
angles: 90.00 90.00 120.00
With the nearest neighbours (Å) after each atom.
Space group R-3m (No. 166, hexagonal axes)
One atom of each set of equivalent atoms:
La  0.0000  0.0000  0.0000 x3  6 N 2.51
Fe  0.0000  0.0000  0.5000 x3  2 N 1.68
N  0.0000  0.0000  0.3975 x6  1 Fe 1.68